Computed, not measured: an optimized crystal structure of Zn2PbBr at the GGA-PBE level of DFT.

Calculated values
For the offset from the most stable computed form, the calculation gives 0.109 eV per atom. Its volume is 24.50 Å³ per atom. Its space group is P4/mmm, No. 123. For the energy relative to the elements, uncorrected, the calculation gives 0.1 eV per formula unit.

a b c (Å): 3.6693 3.6693 7.2791
angles (deg): 90.00 90.00 90.00
Atoms (fractional coordinates):
Zn (0.0000, 0.0000, 0.9958)
Br (0.5000, 0.5000, 0.2500)
Zn (0.0000, 0.0000, 0.5042)
Pb (0.5000, 0.5000, 0.7500)